{"formula": "Mo3AuO", "functional": "PBE+U", "state": "optimized geometry", "lattice_angstrom": [[-1.782, 5.036, 0.583], [-3.787, -1.733, 3.397], [3.371, 0.716, 4.123]], "species": ["Mo", "O", "Mo", "Au", "Mo"], "fractional_positions": [[0.000, 0.000, 0.500], [0.500, 0.500, 0.500], [0.500, 0.000, 0.000], [0.000, 0.000, 0.000], [0.000, 0.500, 0.000]], "magmom_total_mub_per_fu": 14.7, "de_polymorph_mev_per_atom": 1497}